! CaMn2NbF PBE+U relaxed; values from VASP
! density of states at the Fermi level: 1.02 states/eV per atom
! final energy: -0.416 Ry per atom
&SYSTEM
  ibrav = 0, nat = 5, ntyp = 4
/
ATOMIC_SPECIES
Mn 54.94 Mn.upf
F 19.00 F.upf
Ca 40.08 Ca.upf
Nb 92.91 Nb.upf
ATOMIC_POSITIONS angstrom
Mn 1.963 1.326 1.294
F 0.218 -1.626 1.335
Ca 0.350 0.805 4.275
Nb 0.000 0.000 0.000
Mn -1.832 1.105 1.646
CELL_PARAMETERS angstrom
-3.663 2.210 3.292
0.437 -3.253 2.670
3.926 2.652 2.588


! CaMnOF2 PBE+U relaxed; values from VASP
! energy relative to the lowest polymorph listed for this composition: 11.22 kcal/mol of atoms
! density of states at the Fermi level: 0.05 states/eV per atom
! final energy: -0.417 Ry per atom
&SYSTEM
  ibrav = 0, nat = 5, ntyp = 4
/
ATOMIC_SPECIES
O 16.00 O.upf
F 19.00 F.upf
Ca 40.08 Ca.upf
Mn 54.94 Mn.upf
ATOMIC_POSITIONS angstrom
O -3.245 1.778 3.184
F -0.011 1.892 0.057
F 0.622 -0.050 1.787
Ca -3.855 -0.064 1.339
Mn 0.000 0.000 0.000
CELL_PARAMETERS angstrom
-0.023 3.784 0.114
-7.710 -0.127 2.678
1.243 -0.100 3.574


! CaMn8O8F8 PBE+U relaxed; values from VASP
! density of states at the Fermi level: 0.12 states/eV per atom
! final energy: -0.484 Ry per atom
&SYSTEM
  ibrav = 0, nat = 25, ntyp = 4
/
ATOMIC_SPECIES
Ca 40.08 Ca.upf
F 19.00 F.upf
Mn 54.94 Mn.upf
O 16.00 O.upf
ATOMIC_POSITIONS angstrom
Ca -3.431 -6.343 -4.220
F -7.913 -8.520 -0.385
Mn -3.768 -5.617 -0.466
O -0.947 0.334 -3.587
F -3.130 -1.672 -3.157
O -5.770 -6.152 -0.535
O -4.981 -4.808 -2.849
O -1.237 -3.456 -2.729
O -5.936 -8.586 -2.205
F -3.053 -4.167 -4.713
Mn -2.342 1.655 -3.752
Mn -4.470 -9.877 -2.128
Mn -3.111 -3.722 -2.743
F -0.976 -1.925 -5.141
Mn -1.057 -1.538 -3.038
Mn 0.148 -4.893 -2.853
O -7.779 -9.222 -4.483
F 0.969 -1.515 -3.169
O -1.050 -1.161 -1.141
F -7.839 -6.667 -2.710
F -5.578 -7.050 -4.325
O -3.447 -3.631 -0.860
F -3.136 -6.654 -2.089
Mn -5.774 -6.687 -2.367
Mn -7.870 -8.890 -2.522
CELL_PARAMETERS angstrom
-2.417 1.754 -3.720
2.448 -2.831 -3.029
-8.812 -9.418 1.253


! CaMnOF2 PBE+U relaxed; values from VASP
! energy relative to the lowest polymorph listed for this composition: 0.00 kcal/mol of atoms
! density of states at the Fermi level: 0.01 states/eV per atom
! final energy: -0.453 Ry per atom
&SYSTEM
  ibrav = 0, nat = 5, ntyp = 4
/
ATOMIC_SPECIES
F 19.00 F.upf
O 16.00 O.upf
Mn 54.94 Mn.upf
Ca 40.08 Ca.upf
ATOMIC_POSITIONS angstrom
F 2.053 0.000 0.000
O 0.000 0.000 2.094
Mn 0.000 0.000 0.000
F 0.000 2.053 0.000
Ca 2.053 2.053 2.094
CELL_PARAMETERS angstrom
4.107 0.000 0.000
0.000 4.107 0.000
0.000 0.000 4.188


! CaMnO2F PBE+U relaxed; values from VASP
! density of states at the Fermi level: 0.35 states/eV per atom
! final energy: -0.416 Ry per atom
&SYSTEM
  ibrav = 0, nat = 5, ntyp = 4
/
ATOMIC_SPECIES
F 19.00 F.upf
Mn 54.94 Mn.upf
Ca 40.08 Ca.upf
O 16.00 O.upf
ATOMIC_POSITIONS angstrom
F 0.000 0.000 2.106
Mn 2.173 2.173 2.106
Ca 0.000 0.000 0.000
O 0.000 2.173 0.000
O 2.173 0.000 0.000
CELL_PARAMETERS angstrom
4.346 0.000 0.000
0.000 4.346 0.000
0.000 0.000 4.211


! CaMnO2F PBE+U relaxed; values from VASP
! density of states at the Fermi level: 0.05 states/eV per atom
! final energy: -0.485 Ry per atom
&SYSTEM
  ibrav = 0, nat = 5, ntyp = 4
/
ATOMIC_SPECIES
F 19.00 F.upf
Mn 54.94 Mn.upf
Ca 40.08 Ca.upf
O 16.00 O.upf
ATOMIC_POSITIONS angstrom
F -1.259 -1.471 0.632
Mn 0.000 0.000 0.000
Ca -1.560 -2.324 -1.953
O -1.216 0.419 -1.448
O 0.916 -1.272 -1.137
CELL_PARAMETERS angstrom
-2.432 0.838 -2.896
1.831 -2.545 -2.274
-2.519 -2.942 1.264


! CaMnOF2 PBE+U relaxed; values from VASP
! energy relative to the lowest polymorph listed for this composition: 9.61 kcal/mol of atoms
! density of states at the Fermi level: 0.11 states/eV per atom
! final energy: -0.422 Ry per atom
&SYSTEM
  ibrav = 0, nat = 5, ntyp = 4
/
ATOMIC_SPECIES
F 19.00 F.upf
Ca 40.08 Ca.upf
Mn 54.94 Mn.upf
O 16.00 O.upf
ATOMIC_POSITIONS angstrom
F -1.510 -1.374 0.484
Ca 0.000 0.000 0.000
F -0.917 0.355 -1.853
Mn -3.671 0.680 -0.429
O -1.243 1.699 0.941
CELL_PARAMETERS angstrom
-1.834 0.711 -3.707
-3.021 -2.747 0.968
-2.487 3.397 1.882


! CaMnO2F PBE+U relaxed; values from VASP
! final energy: -0.491 Ry per atom
&SYSTEM
  ibrav = 0, nat = 10, ntyp = 4
/
ATOMIC_SPECIES
Ca 40.08 Ca.upf
F 19.00 F.upf
Mn 54.94 Mn.upf
O 16.00 O.upf
ATOMIC_POSITIONS angstrom
Ca -2.901 4.162 1.066
Ca -5.018 -1.806 1.620
F -3.381 -0.804 -0.091
Mn -5.406 1.479 1.541
O -3.855 0.426 2.497
O -1.199 0.932 -0.127
Mn -2.513 0.877 1.145
O -4.064 1.930 0.189
O -6.721 1.424 2.813
F -4.538 3.161 2.777
CELL_PARAMETERS angstrom
-2.277 -0.326 -2.369
-3.679 -3.074 3.959
-1.964 5.756 1.095


! CaMnPbF6 PBE+U relaxed; values from VASP
! density of states at the Fermi level: 0.00 states/eV per atom
! final energy: -0.418 Ry per atom
&SYSTEM
  ibrav = 0, nat = 18, ntyp = 4
/
ATOMIC_SPECIES
F 19.00 F.upf
Ca 40.08 Ca.upf
Pb 207.20 Pb.upf
Mn 54.94 Mn.upf
ATOMIC_POSITIONS angstrom
F 0.865 4.987 8.843
F 3.791 0.081 3.709
F 2.061 0.081 1.425
F 1.101 1.744 3.709
F 4.751 1.744 1.425
Ca 2.926 1.689 7.701
Pb 0.000 0.000 0.000
F 1.966 3.242 1.425
Pb 0.000 0.000 5.134
F -0.865 4.987 6.559
Ca 0.000 3.379 2.567
F 1.825 3.324 6.559
F -0.960 1.826 6.559
Mn 0.000 3.379 7.701
F 0.960 1.826 8.843
Mn 2.926 1.689 2.567
F -1.825 3.324 8.843
F 3.886 3.242 3.709
CELL_PARAMETERS angstrom
5.852 0.000 0.000
-2.926 5.068 0.000
0.000 0.000 10.268


! CaMnPdF2 PBE+U relaxed; values from VASP
! density of states at the Fermi level: 0.06 states/eV per atom
! final energy: -0.371 Ry per atom
&SYSTEM
  ibrav = 0, nat = 5, ntyp = 4
/
ATOMIC_SPECIES
Ca 40.08 Ca.upf
F 19.00 F.upf
Pd 106.42 Pd.upf
Mn 54.94 Mn.upf
ATOMIC_POSITIONS angstrom
Ca -1.217 -0.550 3.901
F -1.280 1.542 -0.182
Pd -1.063 2.256 4.345
Mn 0.000 0.000 0.000
F 1.434 1.265 0.626
CELL_PARAMETERS angstrom
-2.560 3.083 -0.364
-2.435 -1.100 7.802
2.868 2.529 1.252


! Rb3CaMn2F9 PBE+U relaxed; values from VASP
! density of states at the Fermi level: 0.00 states/eV per atom
! final energy: -0.400 Ry per atom
&SYSTEM
  ibrav = 0, nat = 15, ntyp = 4
/
ATOMIC_SPECIES
F 19.00 F.upf
Ca 40.08 Ca.upf
Rb 85.47 Rb.upf
Mn 54.94 Mn.upf
ATOMIC_POSITIONS angstrom
F 1.546 2.678 0.000
Ca 0.000 0.000 3.792
Rb 3.092 1.785 2.491
Mn 0.000 3.571 1.228
F 0.000 1.831 2.477
F 4.599 0.916 5.107
F 3.092 0.000 0.000
Mn 3.092 1.785 6.355
F 1.586 0.916 5.107
F -1.546 2.678 0.000
Rb 0.000 3.571 5.093
F 1.506 4.440 2.477
F -1.506 4.440 2.477
F 3.092 3.525 5.107
Rb 0.000 0.000 0.000
CELL_PARAMETERS angstrom
6.184 0.000 0.000
-3.092 5.356 0.000
0.000 0.000 7.583


! RbCaMn2F8 PBE+U relaxed; values from VASP
! density of states at the Fermi level: 0.61 states/eV per atom
! final energy: -0.406 Ry per atom
&SYSTEM
  ibrav = 0, nat = 12, ntyp = 4
/
ATOMIC_SPECIES
F 19.00 F.upf
Mn 54.94 Mn.upf
Rb 85.47 Rb.upf
Ca 40.08 Ca.upf
ATOMIC_POSITIONS angstrom
F 3.502 3.483 2.542
F 1.813 3.825 5.449
F 4.219 0.342 2.542
Mn 0.000 3.411 6.040
Rb 0.000 0.000 0.000
F 0.000 3.411 7.902
F 2.954 1.705 0.089
F -0.548 1.633 5.449
F -1.265 4.774 5.449
F 1.141 1.291 2.542
Ca 0.000 0.000 3.995
Mn 2.954 1.705 1.951
CELL_PARAMETERS angstrom
5.907 0.000 0.000
-2.954 5.116 0.000
0.000 0.000 7.991